DFT (PBE-GGA) results for crystalline La2Zn6Ga3 at its relaxed geometry.

a = 7.792 Å, b = 7.792 Å, c = 4.177 Å
α = 90.00°, β = 90.00°, γ = 120.00°
Fractional positions:
La1 0.333 0.667 0.000
La2 0.667 0.333 0.000
Zn1 0.000 0.292 0.500
Zn2 0.000 0.812 0.000
Zn3 0.188 0.188 0.000
Zn4 0.292 0.000 0.500
Zn5 0.708 0.708 0.500
Zn6 0.812 0.000 0.000
Ga1 0.000 0.627 0.500
Ga2 0.373 0.373 0.500
Ga3 0.627 0.000 0.500

Values from the calculation:
The calculation puts the energy of formation from the pure elements at -8.8 kcal/mol of atoms.